DFT (meta-GGA SCAN) results for a crystal of BaNaRe2C relaxed with PBEsol.

Calculated values
space group	P4/mmm, No. 123
total energy	-180.4	eV per cell
energy of formation from the pure elements	3.133	eV per atom
ρ	8.5	g/cm³

Lattice parameters (Å, degrees): 4.8663 4.8663 4.4842 90.00 90.00 90.00
Atoms (fractional coordinates):
Ba 0.0000 0.0000 0.0000
Na 0.5000 0.5000 0.5000
Re 0.0000 0.5000 0.5000
Re 0.5000 0.0000 0.5000
C 0.5000 0.5000 0.0000